# 1
Density functional theory data (GGA-PBE) for a relaxed TbLuMgRh crystal.

a = 7.0852 Å, b = 7.0852 Å, c = 7.0852 Å
α = 90.00°, β = 90.00°, γ = 90.00°
Space group F-43m (No. 216)
Inequivalent atoms, fractional coordinates:
Tb 0.0000 0.0000 0.0000
Lu 0.0000 0.0000 0.5000
Mg 0.2500 0.2500 0.7500
Rh 0.2500 0.2500 0.2500

Summary:
Crystal system: cubic
Volume, Å³ per atom: 22.23
Mass density, Mg/m³: 8.611
Energy, eV per atom: -4.955
Density of states at the Fermi level, states/eV per cell: 7.49

=====

# 2
Density functional theory data (GGA-PBE) for a relaxed PrSm2TmBi4 crystal.

a = 7.8775 Å, b = 4.5534 Å, c = 7.8835 Å
α = 90.00°, β = 109.49°, γ = 90.00°
Space group P2/m (No. 10)
Inequivalent atoms, fractional coordinates:
Pr 0.0000 0.0000 0.0000
Sm 0.0000 0.5000 0.5000
Sm 0.5000 0.0000 0.5000
Tm 0.5000 0.5000 0.0000
Bi 0.2564 0.5000 0.2505
Bi 0.2576 0.0000 0.7541

Summary:
Crystal system: monoclinic
Volume, Å³ per atom: 33.32
Mass density, Mg/m³: 9.011
Energy, eV per atom: -5.166
Density of states at the Fermi level, states/eV per cell: 1.18

=====

# 3
Density functional theory data (GGA-PBE) for a relaxed Mg3ZrAs crystal.

a = 5.5201 Å, b = 5.5201 Å, c = 5.5201 Å
α = 90.00°, β = 90.00°, γ = 90.00°
Space group Pm-3m (No. 221)
Inequivalent atoms, fractional coordinates:
Mg 0.0000 0.0000 0.5000
Zr 0.0000 0.0000 0.0000
As 0.5000 0.5000 0.5000

Summary:
Crystal system: cubic
Volume, Å³ per atom: 33.64
E above lowest polymorph, eV/atom: 0.9205
Mass density, Mg/m³: 2.360
Density of states at the Fermi level, states/eV per cell: 3.24

=====

# 4
Density functional theory data (GGA-PBE) for a relaxed TaInOF2 crystal.

a = 4.3574 Å, b = 4.3574 Å, c = 4.2451 Å
α = 90.00°, β = 90.00°, γ = 90.00°
Space group P4/mmm (No. 123)
Inequivalent atoms, fractional coordinates:
Ta 0.0000 0.0000 0.0000
In 0.5000 0.5000 0.5000
O 0.5000 0.5000 0.0000
F 0.0000 0.5000 0.5000

Summary:
Crystal system: tetragonal
Volume, Å³ per atom: 16.12
E above lowest polymorph, eV/atom: 1.3091
Mass density, Mg/m³: 7.206
Formation energy from raw total energies, eV/atom: -0.476
Density of states at the Fermi level, states/eV per cell: 6.74

=====

# 5
Density functional theory data (GGA-PBE) for a relaxed TiNb2Zn crystal.

a = 3.3708 Å, b = 3.3708 Å, c = 6.0055 Å
α = 90.00°, β = 90.00°, γ = 90.00°
Space group P4mm (No. 99)
Inequivalent atoms, fractional coordinates:
Ti 0.0000 0.0000 0.0000
Nb 0.0000 0.0000 0.4952
Nb 0.5000 0.5000 0.2514
Zn 0.5000 0.5000 0.7546

Summary:
Crystal system: tetragonal
Volume, Å³ per atom: 17.06
Mass density, Mg/m³: 7.278
Energy, eV per atom: -7.401
Density of states at the Fermi level, states/eV per cell: 4.35

=====

# 6
Density functional theory data (GGA-PBE) for a relaxed MgGa2RhW crystal.

a = 4.9167 Å, b = 4.9167 Å, c = 4.7427 Å
α = 90.00°, β = 90.00°, γ = 90.00°
Space group P4/mmm (No. 123)
Inequivalent atoms, fractional coordinates:
Mg 0.0000 0.0000 0.0000
Ga 0.0000 0.5000 0.5000
Rh 0.5000 0.5000 0.0000
W 0.5000 0.5000 0.5000

Summary:
Crystal system: tetragonal
Volume, Å³ per atom: 22.93
Mass density, Mg/m³: 6.525
Energy, eV per atom: -4.925
Density of states at the Fermi level, states/eV per cell: 3.15

=====

# 7
Density functional theory data (GGA-PBE) for a relaxed RbTaF2 crystal.

a = 3.0787 Å, b = 3.0787 Å, c = 25.6144 Å
α = 90.00°, β = 90.00°, γ = 120.00°
Space group R-3m (No. 166, hexagonal axes)
Inequivalent atoms, fractional coordinates:
Rb 0.0000 0.0000 0.0000
Ta 0.0000 0.0000 0.5000
F 0.0000 0.0000 0.1029

Summary:
Crystal system: trigonal
Volume, Å³ per atom: 17.52
E above lowest polymorph, eV/atom: 0.7090
Mass density, Mg/m³: 7.213
Formation energy from raw total energies, eV/atom: -0.968
Density of states at the Fermi level, states/eV per cell: 6.48

=====

# 8
Density functional theory data (GGA-PBE) for a relaxed PaSnHg crystal.

a = 3.2717 Å, b = 3.2717 Å, c = 14.1804 Å
α = 90.00°, β = 90.00°, γ = 90.00°
Space group I4mm (No. 107)
Inequivalent atoms, fractional coordinates:
Pa 0.0000 0.0000 0.0000
Sn 0.0000 0.0000 0.6659
Hg 0.0000 0.0000 0.3350

Summary:
Crystal system: tetragonal
Volume, Å³ per atom: 25.30
E above lowest polymorph, eV/atom: 0.0943
Mass density, Mg/m³: 12.041
Density of states at the Fermi level, states/eV per cell: 10.09

=====

# 9
Density functional theory data (GGA-PBE) for a relaxed CeTh2MnN5 crystal.

a = 6.7564 Å, b = 6.7564 Å, c = 11.2795 Å
α = 90.00°, β = 90.00°, γ = 90.00°
Space group I4/mcm (No. 140)
Inequivalent atoms, fractional coordinates:
Ce 0.0000 0.0000 0.2500
Th 0.1748 0.3252 0.0000
Mn 0.0000 0.5000 0.2500
N 0.0000 0.0000 0.0000
N 0.1431 0.3569 0.3557

Summary:
Crystal system: tetragonal
Volume, Å³ per atom: 14.30
Mass density, Mg/m³: 9.406
Formation energy from raw total energies, eV/atom: -1.215
Density of states at the Fermi level, states/eV per cell: 25.81

=====

# 10
Density functional theory data (GGA-PBE) for a relaxed BeV2TcSb crystal.

a = 4.5616 Å, b = 4.5616 Å, c = 4.3270 Å
α = 90.00°, β = 90.00°, γ = 90.00°
Space group P4/mmm (No. 123)
Inequivalent atoms, fractional coordinates:
Be 0.0000 0.0000 0.0000
V 0.0000 0.5000 0.5000
Tc 0.0000 0.0000 0.5000
Sb 0.5000 0.5000 0.0000

Summary:
Crystal system: tetragonal
Volume, Å³ per atom: 18.01
Mass density, Mg/m³: 6.098
Formation energy from raw total energies, eV/atom: 0.880
Density of states at the Fermi level, states/eV per cell: 7.14

=====

# 11
Density functional theory data (GGA-PBE) for a relaxed Tl3S5 crystal.

a = 6.2038 Å, b = 7.4504 Å, c = 10.8902 Å
α = 87.14°, β = 80.87°, γ = 72.66°
Space group P1 (No. 1)
Inequivalent atoms, fractional coordinates:
Tl 0.0000 0.0000 0.0000
Tl 0.0924 0.4648 0.8023
Tl 0.4415 0.1285 0.3273
Tl 0.5380 0.5900 0.1289
Tl 0.7141 0.0440 0.6537
Tl 0.8203 0.5496 0.4753
S 0.0671 0.4588 0.1321
S 0.1994 0.1310 0.6107
S 0.2494 0.7458 0.4770
S 0.2850 0.8472 0.6521
S 0.3348 0.4621 0.5188
S 0.4714 0.1323 0.9974
S 0.5643 0.3290 0.8734
S 0.5694 0.8726 0.9091
S 0.9703 0.2638 0.2562
S 0.9703 0.7188 0.2199

Summary:
Crystal system: triclinic
Volume, Å³ per atom: 29.65
Mass density, Mg/m³: 5.415
Formation energy from raw total energies, eV/atom: -0.153

=====

# 12
Density functional theory data (GGA-PBE) for a relaxed TlCuGe crystal.

a = 6.0140 Å, b = 3.9270 Å, c = 10.9451 Å
α = 90.00°, β = 90.00°, γ = 90.00°
Space group Pnma (No. 62)
Inequivalent atoms, fractional coordinates:
Tl 0.0895 0.2500 0.1457
Cu 0.0412 0.2500 0.6683
Ge 0.1228 0.2500 0.4422

Summary:
Crystal system: orthorhombic
Volume, Å³ per atom: 21.54
Mass density, Mg/m³: 8.751
Energy, eV per atom: -3.440
Density of states at the Fermi level, states/eV per cell: 4.43

=====

# 13
Density functional theory data (GGA-PBE) for a relaxed Cd2OsRu crystal.

a = 2.8662 Å, b = 4.8678 Å, c = 10.0066 Å
α = 90.00°, β = 90.00°, γ = 90.00°
Space group Cmm2 (No. 35)
Inequivalent atoms, fractional coordinates:
Cd 0.0000 0.0000 0.0000
Cd 0.0000 0.5000 0.2841
Os 0.0000 0.0000 0.5388
Ru 0.0000 0.5000 0.7505

Summary:
Crystal system: orthorhombic
Volume, Å³ per atom: 17.45
E above lowest polymorph, eV/atom: 0.3105
Mass density, Mg/m³: 12.278
Density of states at the Fermi level, states/eV per cell: 7.59

=====

# 14
Density functional theory data (GGA-PBE) for a relaxed Pr2Er2Tm crystal.

a = 6.8820 Å, b = 16.1892 Å, c = 6.2340 Å
α = 90.00°, β = 90.00°, γ = 90.00°
Space group Cmcm (No. 63)
Inequivalent atoms, fractional coordinates:
Pr 0.0000 0.0985 0.2500
Pr 0.0000 0.3301 0.7500
Er 0.2393 0.3307 0.2500
Tm 0.0000 0.5000 0.0000

Summary:
Crystal system: orthorhombic
Volume, Å³ per atom: 34.73
E above lowest polymorph, eV/atom: 0.2522
Mass density, Mg/m³: 7.510
Density of states at the Fermi level, states/eV per cell: 29.15

=====

# 15
Density functional theory data (GGA-PBE) for a relaxed B5C7 crystal.

a = 2.5476 Å, b = 2.5476 Å, c = 13.8411 Å
α = 90.00°, β = 90.00°, γ = 120.00°
Space group P3m1 (No. 156)
Inequivalent atoms, fractional coordinates:
B 0.0000 0.0000 0.0000
B 0.0000 0.0000 0.1207
B 0.3333 0.6667 0.1965
B 0.3333 0.6667 0.6558
B 0.6667 0.3333 0.9236
C 0.0000 0.0000 0.4984
C 0.0000 0.0000 0.6080
C 0.3333 0.6667 0.3112
C 0.3333 0.6667 0.7735
C 0.6667 0.3333 0.3484
C 0.6667 0.3333 0.4606
C 0.6667 0.3333 0.8092

Summary:
Crystal system: trigonal
Volume, Å³ per atom: 6.48
E above lowest polymorph, eV/atom: 0.1064
Mass density, Mg/m³: 2.948
Density of states at the Fermi level, states/eV per cell: 3.23